Er3In3CuNiPt, optimized geometry, DFT PBE; space group = P-6; electronic total energy = -4.80 eV per atom; density = 10.410 g/cm3; total moment = 0.00 μB per atom
1.0
7.514 0.000 0.000
-3.757 6.507 0.000
0.000 0.000 3.796
Er In Cu Ni Pt
3 3 1 1 1
Direct
0.080 0.743 0.000 Er
0.257 0.337 0.000 Er
0.663 0.920 0.000 Er
0.415 0.075 0.500 In
0.660 0.585 0.500 In
0.925 0.340 0.500 In
0.667 0.333 0.000 Cu
0.333 0.667 0.500 Ni
0.000 0.000 0.500 Pt

=====

YNb2Cd6, optimized geometry, DFT PBE; space group = C2; electronic total energy = -3.42 eV per atom; density = 8.331 g/cm3; ΔH_f (0 K) = 1.2 eV per formula unit; total moment = 0.04 μB per atom
1.0
5.394 -2.432 0.000
5.394 2.432 0.000
-2.183 0.000 7.212
Y Nb Cd
1 2 6
Direct
0.000 0.000 0.000 Y
0.109 0.107 0.641 Nb
0.893 0.891 0.359 Nb
0.226 0.223 0.345 Cd
0.320 0.321 0.019 Cd
0.448 0.445 0.671 Cd
0.555 0.552 0.329 Cd
0.679 0.680 0.981 Cd
0.777 0.774 0.655 Cd

=====

NaThTe, optimized geometry, DFT PBE; space group = F-43m; electronic total energy = -4.08 eV per atom; density = 6.454 g/cm3; offset from the most stable computed form = 0.00 eV per formula unit; total moment = 0.37 μB per atom
1.0
0.000 3.665 3.665
3.665 0.000 3.665
3.665 3.665 0.000
Na Th Te
1 1 1
Direct
0.000 0.000 0.000 Na
0.500 0.500 0.500 Th
0.250 0.250 0.250 Te

=====

TaFePdPb, optimized geometry, DFT PBE; space group = F-43m; electronic total energy = -6.88 eV per atom; density = 13.146 g/cm3; offset from the most stable computed form = 0.66 eV per formula unit; total moment = 0.51 μB per atom
1.0
0.000 3.264 3.264
3.264 0.000 3.264
3.264 3.264 0.000
Ta Fe Pd Pb
1 1 1 1
Direct
0.000 0.000 0.000 Ta
0.500 0.500 0.500 Fe
0.750 0.750 0.750 Pd
0.250 0.250 0.250 Pb

=====

Dy5ErBi2Os, optimized geometry, DFT PBE; space group = Amm2; electronic total energy = -5.76 eV per atom; density = 10.439 g/cm3; total moment = 0.00 μB per atom
1.0
4.244 0.000 0.000
0.000 7.179 4.146
0.000 -7.179 4.146
Dy Er Bi Os
5 1 2 1
Direct
0.000 0.000 0.000 Dy
0.000 0.225 0.612 Dy
0.000 0.612 0.225 Dy
0.500 0.613 0.846 Dy
0.500 0.846 0.613 Dy
0.500 0.380 0.380 Er
0.500 0.279 0.946 Bi
0.500 0.946 0.279 Bi
0.000 0.611 0.611 Os

=====

ErLuB4, optimized geometry, DFT PBE; space group = Immm; electronic total energy = -6.62 eV per atom; density = 9.292 g/cm3; total moment = 0.00 μB per atom
1.0
-1.628 2.818 3.754
1.628 -2.818 3.754
1.628 2.818 -3.754
Er Lu B
1 1 4
Direct
0.000 0.000 0.000 Er
0.500 0.500 0.000 Lu
0.084 0.751 0.333 B
0.417 0.751 0.667 B
0.583 0.249 0.333 B
0.916 0.249 0.667 B